1.
Here is a relaxed BaWN2F crystal from Alexandria. Energies are from PBEsol.

```
5
Lattice="-2.1948 1.6327 -2.9567 2.7741 -1.1401 -2.6888 -2.0307 -3.6904 -0.5304" Properties=species:S:1:pos:R:3 pbc="T T T"
N -1.0974 0.8163 -1.4784
N 1.3871 -0.5700 -1.3444
Ba -0.7257 -1.5989 -3.0880
F -1.0154 -1.8452 -0.2652
W 0.0000 0.0000 0.0000
```

Calculated values
The uncorrected formation energy comes out at -1.25 eV per atom. Its space-group type is P4/mmm (123). The value obtained for the polymorph energy (0 for the lowest one) is 0.000 eV/atom.

2.
Here is a relaxed NaCu3Hg crystal from Alexandria. Energies are from PBEsol.

```
5
Lattice="-1.4605 -4.1977 -0.5643 2.7557 -0.4885 -3.4985 3.2163 -1.4876 2.7412" Properties=species:S:1:pos:R:3 pbc="T T T"
Cu -0.7303 -2.0988 -0.2822
Cu 1.6082 -0.7438 1.3706
Cu 1.3779 -0.2443 -1.7492
Na 0.0000 0.0000 0.0000
Hg 2.2558 -3.0869 -0.6608
```

Calculated values
Its space-group type is Pm-3m (221). The calculated formation energy comes out at 1236 meV per atom.

3.
Here is a relaxed AlInTe2 crystal from Alexandria. Energies are from PBEsol.

```
4
Lattice="5.2330 0.0000 0.0000 2.6165 4.5319 0.0000 2.6165 1.5106 4.2727" Properties=species:S:1:pos:R:3 pbc="T T T"
Te 7.8494 4.5319 3.2045
Te 0.0000 0.0000 0.0000
Al 5.2330 3.0213 2.1363
In 2.6165 1.5106 1.0682
```

Calculated values
The uncorrected formation energy comes out at 0.20 eV per atom. Its space-group type is F-43m (216).

4.
Here is a relaxed LiIrCl2 crystal from Alexandria. Energies are from PBEsol.

```
4
Lattice="3.3427 0.0000 0.0000 0.0000 3.3427 0.0000 -1.6713 -1.6713 6.8104" Properties=species:S:1:pos:R:3 pbc="T T T"
Cl 0.0000 0.0000 0.0000
Cl 1.6713 0.0000 3.4052
Ir 1.6713 1.6713 0.0000
Li 0.0000 1.6713 3.4052
```

Calculated values
The uncorrected formation energy comes out at -0.08 eV per atom. Its space-group type is I-4m2 (119). The value obtained for the polymorph energy (0 for the lowest one) is 0.155 eV/atom.

5.
Here is a relaxed YTlMo2 crystal from Alexandria. Energies are from PBEsol.

```
4
Lattice="-1.7119 -2.7133 0.1364 1.4568 -2.7866 0.6513 -1.5135 -0.4805 9.2452" Properties=species:S:1:pos:R:3 pbc="T T T"
Y -0.4079 -1.5276 2.2926
Tl -0.9158 -2.9604 5.2145
Mo -1.3752 -4.4392 7.8309
Mo -1.4676 -0.5239 8.9565
```

Calculated values
Its space-group type is R3m (160). The value obtained for the polymorph energy (0 for the lowest one) is 0.000 eV/atom. The calculated formation energy comes out at 331 meV per atom.

6.
Here is a relaxed YCd2 crystal from Alexandria. Energies are from PBEsol.

```
3
Lattice="-1.6212 0.9671 2.9305 2.9097 -3.2292 2.6754 3.4570 3.6904 0.6945" Properties=species:S:1:pos:R:3 pbc="T T T"
Y 0.0000 0.0000 0.0000
Cd 0.6443 -1.1310 2.8030
Cd 0.9179 2.3288 1.8125
```

Calculated values
Its space-group type is P4/mmm (123). The calculated formation energy comes out at 101 meV per atom.

7.
Here is a relaxed RbCrN2 crystal from Alexandria. Energies are from PBEsol.

```
8
Lattice="5.6890 0.0000 0.0000 2.8445 4.9268 0.0000 2.8445 1.6423 4.6451" Properties=species:S:1:pos:R:3 pbc="T T T"
Rb 5.6890 3.2846 2.3225
Rb 8.5335 4.9268 3.4838
N 2.8445 1.6423 2.9032
N 2.8445 3.2846 0.5806
N 1.4223 0.8211 0.5806
N 4.2668 0.8211 0.5806
Cr 2.8445 1.6423 1.1613
Cr 0.0000 0.0000 0.0000
```

Calculated values
The uncorrected formation energy comes out at -0.59 eV per atom. Its space-group type is Fd-3m (227).

8.
Here is a relaxed ReRu crystal from Alexandria. Energies are from PBEsol.

```
4
Lattice="3.8272 0.0000 0.0000 0.0000 3.8272 0.0000 -1.9136 -1.9136 3.8135" Properties=species:S:1:pos:R:3 pbc="T T T"
Ru 1.9136 0.0000 1.9068
Ru 1.9136 1.9136 0.0000
Re 0.0000 1.9136 1.9068
Re 0.0000 0.0000 0.0000
```

Calculated values
Its space-group type is I4_1/amd (141). The calculated formation energy comes out at 39 meV per atom.

Please write out number 2 again, unchanged.
Here is a relaxed NaCu3Hg crystal from Alexandria. Energies are from PBEsol.

```
5
Lattice="-1.4605 -4.1977 -0.5643 2.7557 -0.4885 -3.4985 3.2163 -1.4876 2.7412" Properties=species:S:1:pos:R:3 pbc="T T T"
Cu -0.7303 -2.0988 -0.2822
Cu 1.6082 -0.7438 1.3706
Cu 1.3779 -0.2443 -1.7492
Na 0.0000 0.0000 0.0000
Hg 2.2558 -3.0869 -0.6608
```

Calculated values
Its space-group type is Pm-3m (221). The calculated formation energy comes out at 1236 meV per atom.